Record 1
TaTePb2 | GGA-PBE | optimized geometry

Values from the calculation:
Formation energy from raw total energies (eV per atom): 0.283
Density of states at the Fermi level (states/eV/f.u.): 2.11
Total magnetization (μB/f.u.): 0.000
DFT total energy (eV per atom): -5.32

Cell lengths 8.0586, 8.0586, 8.0586 Å; angles 154.81, 148.22, 40.97 degrees
Element x y z (fractional)
Pb 0.6783 0.1783 0.5000
Pb 0.0249 0.0249 0.0000
Ta 0.4680 0.4680 0.0000
Te 0.3288 0.8288 0.5000

***

Record 2
VNiHOs2 | GGA-PBE | optimized geometry

Values from the calculation:
Density of states at the Fermi level (states/eV/f.u.): 1.51
Total magnetization (μB/f.u.): 0.000
DFT total energy (eV per atom): -8.15

Cell lengths 3.8996, 3.8996, 3.6204 Å; angles 90.00, 90.00, 90.00 degrees
Element x y z (fractional)
V 0.5000 0.5000 0.5000
Ni 0.0000 0.0000 0.5000
Os 0.0000 0.5000 0.0000
Os 0.5000 0.0000 0.0000
H 0.0000 0.0000 0.0000

***

Record 3
Ba2CaPm2Hg5 | GGA-PBE | optimized geometry

Values from the calculation:
Density of states at the Fermi level (states/eV/f.u.): 7.36
Total magnetization (μB/f.u.): 0.000
DFT total energy (eV per atom): -2.08

Cell lengths 4.2245, 12.3291, 12.3291 Å; angles 90.00, 90.00, 90.00 degrees
Element x y z (fractional)
Hg 0.5000 0.3122 0.5685
Hg 0.5000 0.8122 0.9315
Hg 0.5000 0.5000 0.0000
Hg 0.5000 0.9315 0.1878
Hg 0.5000 0.6878 0.4315
Hg 0.5000 0.4315 0.3122
Hg 0.5000 0.5685 0.6878
Hg 0.5000 0.0000 0.5000
Hg 0.5000 0.0685 0.8122
Hg 0.5000 0.1878 0.0685
Ba 0.0000 0.8278 0.6722
Ba 0.0000 0.6722 0.1722
Ba 0.0000 0.3278 0.8278
Ba 0.0000 0.1722 0.3278
Pm 0.0000 0.1290 0.6290
Pm 0.0000 0.6290 0.8710
Pm 0.0000 0.3710 0.1290
Pm 0.0000 0.8710 0.3710
Ca 0.0000 0.5000 0.5000
Ca 0.0000 0.0000 0.0000

***

Record 4
Tm4TePt | GGA-PBE | optimized geometry

Values from the calculation:
Formation energy from raw total energies (eV per atom): -0.915
Relative energy among the computed polymorphs (meV/atom): 0
Density of states at the Fermi level (states/eV/f.u.): 5.63
Total magnetization (μB/f.u.): 0.000
DFT total energy (eV per atom): -5.43

Cell lengths 3.9066, 8.1780, 19.3321 Å; angles 90.00, 90.00, 90.00 degrees
Element x y z (fractional)
Tm 0.7500 0.0126 0.9313
Tm 0.7500 0.8591 0.4489
Tm 0.2500 0.6409 0.9489
Tm 0.2500 0.9874 0.0687
Tm 0.7500 0.4596 0.2845
Tm 0.7500 0.8595 0.6521
Tm 0.2500 0.1405 0.3479
Tm 0.7500 0.9596 0.2155
Tm 0.2500 0.6405 0.1521
Tm 0.2500 0.5404 0.7155
Tm 0.2500 0.1409 0.5511
Tm 0.7500 0.3595 0.8479
Tm 0.7500 0.3591 0.0511
Tm 0.7500 0.5126 0.5687
Tm 0.2500 0.0404 0.7845
Tm 0.2500 0.4874 0.4313
Pt 0.2500 0.7695 0.5504
Pt 0.7500 0.2305 0.4496
Pt 0.2500 0.2695 0.9496
Pt 0.7500 0.7305 0.0504
Te 0.7500 0.2400 0.6865
Te 0.2500 0.2600 0.1865
Te 0.7500 0.7400 0.8135
Te 0.2500 0.7600 0.3135